(1)
The following is a DFT calculation (GGA-PBE) of a relaxed structure of AcLuRh2.

Results
Size of the total moment = 0.000 μB per formula unit
Distance to the lowest polymorph of the same formula = 0.00 eV per formula unit

a = 3.4911 Å, b = 3.4911 Å, c = 7.2341 Å
α = 90.00°, β = 90.00°, γ = 90.00°
Positions (direct):
Ac: 0.5000 0.5000 0.5000
Rh: 0.0000 0.0000 0.2163
Rh: 0.0000 0.0000 0.7837
Lu: 0.5000 0.5000 0.0000

---

(2)
The following is a DFT calculation (GGA-PBE) of a relaxed structure of AcLuRh2.

Results
Size of the total moment = 0.000 μB per formula unit
Distance to the lowest polymorph of the same formula = 0.18 eV per formula unit

a = 5.0121 Å, b = 5.0121 Å, c = 5.0121 Å
α = 60.00°, β = 60.00°, γ = 60.00°
Positions (direct):
Rh: 0.7500 0.7500 0.7500
Ac: 0.5000 0.5000 0.5000
Lu: 0.0000 0.0000 0.0000
Rh: 0.2500 0.2500 0.2500

---

(3)
The following is a DFT calculation (GGA-PBE) of a relaxed structure of AcLuRh4.

Results
Size of the total moment = 0.000 μB per formula unit

a = 5.4282 Å, b = 5.4282 Å, c = 5.4282 Å
α = 60.00°, β = 60.00°, γ = 60.00°
Positions (direct):
Lu: 0.0000 0.0000 0.0000
Rh: 0.6257 0.6257 0.1228
Rh: 0.6257 0.6257 0.6257
Rh: 0.6257 0.1228 0.6257
Ac: 0.2500 0.2500 0.2500
Rh: 0.1228 0.6257 0.6257

---

(4)
The following is a DFT calculation (GGA-PBE) of a relaxed structure of AcLuSnRh.

Results
Size of the total moment = 0.000 μB per formula unit

a = 5.2972 Å, b = 5.2972 Å, c = 5.2972 Å
α = 60.00°, β = 60.00°, γ = 60.00°
Positions (direct):
Rh: 0.7500 0.7500 0.7500
Ac: 0.5000 0.5000 0.5000
Lu: 0.0000 0.0000 0.0000
Sn: 0.2500 0.2500 0.2500

---

(5)
The following is a DFT calculation (GGA-PBE) of a relaxed structure of AcLuRu.

Results
Size of the total moment = 0.000 μB per formula unit
Distance to the lowest polymorph of the same formula = 0.00 eV per formula unit

a = 3.5155 Å, b = 3.5155 Å, c = 7.1562 Å
α = 104.22°, β = 104.22°, γ = 90.00°
Positions (direct):
Lu: 0.2874 0.2874 0.5748
Ru: 0.6788 0.6788 0.3576
Ac: 0.0338 0.0338 0.0676

---

(6)
The following is a DFT calculation (GGA-PBE) of a relaxed structure of AcLu3Ru.

Results
Size of the total moment = 0.001 μB per formula unit

a = 5.3606 Å, b = 5.3606 Å, c = 5.3606 Å
α = 90.00°, β = 90.00°, γ = 90.00°
Positions (direct):
Ac: 0.5000 0.5000 0.5000
Lu: 0.5000 0.0000 0.0000
Ru: 0.0000 0.0000 0.0000
Lu: 0.0000 0.0000 0.5000
Lu: 0.0000 0.5000 0.0000

---

For the records above, the corresponding uncorrected energy values read -6.5348; -6.4889; -6.9479; -5.4695; -6.1505; -5.5742 eV per atom.
For the records above, the corresponding E_form values read -0.70; -0.66; -0.61; -0.47; -0.18; -0.18 eV/atom.
For the records above, the corresponding ρ values read 11.4; 11.3; 11.9; 9.9; 10.1; 9.2 g cm⁻³.